Entry w
Entry from the Alexandria database: a geometry-optimized La2PrHg2 structure (PBE).

M_tot   0.5 μB/f.u.
Crystal system   monoclinic
Space group   P2_1/m, No. 11

a b c (Å): 3.9097 5.5612 14.4293
angles (deg): 90.00 97.82 90.00
Sites, in units of the cell vectors:
La (0.0464, 0.2500, 0.0924)
La (0.2329, 0.2500, 0.4708)
La (0.7671, 0.7500, 0.5292)
La (0.9536, 0.7500, 0.9076)
Pr (0.1475, 0.7500, 0.2901)
Pr (0.8525, 0.2500, 0.7099)
Hg (0.3582, 0.7500, 0.7144)
Hg (0.4482, 0.2500, 0.8993)
Hg (0.5518, 0.7500, 0.1007)
Hg (0.6418, 0.2500, 0.2856)

=====

Entry x
Entry from the Alexandria database: a geometry-optimized La2PrHg2 structure (PBE).

M_tot   0.0 μB/f.u.
Crystal system   orthorhombic
Space group   Immm, No. 71

a b c (Å): 6.1463 6.1463 6.1463
angles (deg): 131.48 106.36 93.21
Sites, in units of the cell vectors:
La (0.1883, 0.1883, 0.0000)
La (0.8117, 0.8117, 0.0000)
Pr (0.5000, 0.0000, 0.5000)
Hg (0.2150, 0.5000, 0.7150)
Hg (0.7850, 0.5000, 0.2850)

=====

Which of them is most stable? Easy: entry w.

=====

Entry w
Entry from the Alexandria database: a geometry-optimized LaPr3Hg structure (PBE).

M_tot   0.0 μB/f.u.
Crystal system   monoclinic
Space group   Pm, No. 6

a b c (Å): 3.8726 12.2837 7.5257
angles (deg): 90.00 104.87 90.00
Sites, in units of the cell vectors:
La (0.0000, 0.0000, 0.0000)
La (0.3415, 0.5000, 0.6810)
Pr (0.2939, 0.2259, 0.5884)
Pr (0.2939, 0.7741, 0.5884)
Pr (0.6524, 0.5000, 0.3065)
Pr (0.7394, 0.0000, 0.4757)
Pr (0.9879, 0.3445, 0.9764)
Pr (0.9879, 0.6555, 0.9764)
Hg (0.6041, 0.1979, 0.2100)
Hg (0.6041, 0.8021, 0.2100)

=====

Entry x
Entry from the Alexandria database: a geometry-optimized LaPr3Hg structure (PBE).

M_tot   0.0 μB/f.u.
Crystal system   monoclinic
Space group   C2/m, No. 12

a b c (Å): 15.4393 15.4393 5.7910
angles (deg): 90.10 90.10 14.07
Sites, in units of the cell vectors:
La (0.2335, 0.2335, 0.2491)
La (0.7665, 0.7665, 0.7509)
Pr (0.1585, 0.1585, 0.7507)
Pr (0.3731, 0.3731, 0.7513)
Pr (0.4526, 0.4526, 0.2599)
Pr (0.5474, 0.5474, 0.7401)
Pr (0.6269, 0.6269, 0.2487)
Pr (0.8415, 0.8415, 0.2493)
Hg (0.0407, 0.0407, 0.2336)
Hg (0.9593, 0.9593, 0.7664)

=====

Which of them is most stable? Easy: entry x.

=====

Entry w
Entry from the Alexandria database: a geometry-optimized LaPr6Hg2 structure (PBE).

M_tot   0.0 μB/f.u.
Crystal system   monoclinic
Space group   C2/c, No. 15

a b c (Å): 9.9104 9.9104 6.2977
angles (deg): 94.81 94.81 72.65
Sites, in units of the cell vectors:
La (0.1072, 0.8928, 0.7500)
La (0.8928, 0.1072, 0.2500)
Pr (0.0347, 0.7301, 0.1921)
Pr (0.1053, 0.3518, 0.3303)
Pr (0.2699, 0.9653, 0.3079)
Pr (0.3231, 0.5580, 0.4952)
Pr (0.3518, 0.1053, 0.8303)
Pr (0.4420, 0.6769, 0.0048)
Pr (0.5580, 0.3231, 0.9952)
Pr (0.6482, 0.8947, 0.1697)
Pr (0.6769, 0.4420, 0.5048)
Pr (0.7301, 0.0347, 0.6921)
Pr (0.8947, 0.6482, 0.6697)
Pr (0.9653, 0.2699, 0.8079)
Hg (0.2065, 0.4626, 0.9023)
Hg (0.4626, 0.2065, 0.4023)
Hg (0.5374, 0.7935, 0.5977)
Hg (0.7935, 0.5374, 0.0977)

=====

Entry x
Entry from the Alexandria database: a geometry-optimized LaPr6Hg2 structure (PBE).

M_tot   0.0 μB/f.u.
Crystal system   monoclinic
Space group   C2/m, No. 12

a b c (Å): 6.8487 6.8487 12.4499
angles (deg): 107.66 107.66 32.78
Sites, in units of the cell vectors:
La (0.0000, 0.0000, 0.0000)
Pr (0.0223, 0.0223, 0.3374)
Pr (0.3124, 0.3124, 0.4124)
Pr (0.3149, 0.3149, 0.1249)
Pr (0.6851, 0.6851, 0.8751)
Pr (0.6876, 0.6876, 0.5876)
Pr (0.9777, 0.9777, 0.6626)
Hg (0.3535, 0.3535, 0.7950)
Hg (0.6465, 0.6465, 0.2050)

=====

Which of them is most stable? Easy: entry x.

=====

Entry w
Entry from the Alexandria database: a geometry-optimized La3Pr2Hg4 structure (PBE).

M_tot   0.0 μB/f.u.
Crystal system   orthorhombic
Space group   Cmce, No. 64

a b c (Å): 10.1141 10.1141 8.4829
angles (deg): 90.00 90.00 138.49
Sites, in units of the cell vectors:
La (0.0000, 0.0000, 0.0000)
La (0.0078, 0.4922, 0.2500)
La (0.4922, 0.0078, 0.7500)
La (0.5000, 0.5000, 0.5000)
La (0.5078, 0.9922, 0.2500)
La (0.9922, 0.5078, 0.7500)
Pr (0.0928, 0.9072, 0.4191)
Pr (0.4072, 0.5928, 0.9191)
Pr (0.5928, 0.4072, 0.0809)
Pr (0.9072, 0.0928, 0.5809)
Hg (0.1635, 0.8365, 0.0274)
Hg (0.1801, 0.3199, 0.2500)
Hg (0.3199, 0.1801, 0.7500)
Hg (0.3365, 0.6635, 0.5274)
Hg (0.6635, 0.3365, 0.4726)
Hg (0.6801, 0.8199, 0.2500)
Hg (0.8199, 0.6801, 0.7500)
Hg (0.8365, 0.1635, 0.9726)

=====

Entry x
Entry from the Alexandria database: a geometry-optimized La3Pr2Hg4 structure (PBE).

M_tot   0.5 μB/f.u.
Crystal system   monoclinic
Space group   C2/m, No. 12

a b c (Å): 5.4458 5.4458 10.5575
angles (deg): 90.06 90.06 60.06
Sites, in units of the cell vectors:
La (0.0000, 0.0000, 0.0000)
La (0.3333, 0.3333, 0.5796)
La (0.6667, 0.6667, 0.4204)
Pr (0.3333, 0.3333, 0.2092)
Pr (0.6667, 0.6667, 0.7908)
Hg (0.0002, 0.0002, 0.3436)
Hg (0.9998, 0.9998, 0.6564)
Hg (0.3334, 0.3334, 0.8938)
Hg (0.6666, 0.6666, 0.1062)

=====

Which of them is most stable? Easy: entry x.